Version 1
The following is a PBE calculation of a geometry-optimized Al2CdSb2 structure, from Alexandria via LeMat-Bulk.

Cell lengths 8.245, 8.245, 3.552 Å; angles 90.00, 90.00, 90.00 degrees
Sites, in units of the cell vectors:
Sb 0.337 0.837 0.000
Sb 0.837 0.663 0.000
Sb 0.663 0.163 0.000
Sb 0.163 0.337 0.000
Al 0.131 0.631 0.500
Al 0.631 0.869 0.500
Al 0.869 0.369 0.500
Al 0.369 0.131 0.500
Cd 0.000 0.000 0.000
Cd 0.500 0.500 0.000

The crystal system is tetragonal.

Version 2
The following is a PBE calculation of a geometry-optimized Al2CdSb2 structure, from Alexandria via LeMat-Bulk.

Cell lengths 4.272, 4.272, 8.205 Å; angles 74.91, 74.91, 90.00 degrees
Sites, in units of the cell vectors:
Sb 0.368 0.368 0.264
Sb 0.632 0.632 0.736
Al 0.750 0.250 0.500
Al 0.250 0.750 0.500
Cd 0.000 0.000 0.000

The crystal system is tetragonal.

Version 3
The following is a PBE calculation of a geometry-optimized Al2CdSb2 structure, from Alexandria via LeMat-Bulk.

Cell lengths 4.986, 4.986, 6.368 Å; angles 66.95, 66.95, 90.00 degrees
Sites, in units of the cell vectors:
Sb 0.750 0.250 0.500
Sb 0.250 0.750 0.500
Al 0.380 0.380 0.240
Al 0.620 0.620 0.760
Cd 0.000 0.000 0.000

The crystal system is tetragonal.

Version 4
The following is a PBE calculation of a geometry-optimized Al2CdSb2 structure, from Alexandria via LeMat-Bulk.

Cell lengths 7.810, 7.810, 3.793 Å; angles 90.00, 90.00, 90.00 degrees
Sites, in units of the cell vectors:
Sb 0.166 0.666 0.500
Sb 0.666 0.834 0.500
Sb 0.834 0.334 0.500
Sb 0.334 0.166 0.500
Al 0.371 0.871 0.000
Al 0.871 0.629 0.000
Al 0.629 0.129 0.000
Al 0.129 0.371 0.000
Cd 0.000 0.000 0.000
Cd 0.500 0.500 0.000

The crystal system is tetragonal.

Which one sits at the bottom of the stability order? version 1 does.

Version 1
The following is a PBE calculation of a geometry-optimized AlCd3Sb structure, from Alexandria via LeMat-Bulk.

Cell lengths 5.215, 5.215, 5.215 Å; angles 90.00, 90.00, 90.00 degrees
Sites, in units of the cell vectors:
Sb 0.500 0.500 0.500
Al 0.000 0.000 0.000
Cd 0.000 0.500 0.000
Cd 0.000 0.000 0.500
Cd 0.500 0.000 0.000

The crystal system is cubic.

Version 2
The following is a PBE calculation of a geometry-optimized AlCd3Sb structure, from Alexandria via LeMat-Bulk.

Cell lengths 5.592, 5.592, 5.592 Å; angles 90.00, 90.00, 90.00 degrees
Sites, in units of the cell vectors:
Sb 0.000 0.000 0.000
Al 0.500 0.500 0.500
Cd 0.000 0.500 0.000
Cd 0.000 0.000 0.500
Cd 0.500 0.000 0.000

The crystal system is cubic.

Which one sits at the bottom of the stability order? version 2 does.

Version 1
The following is a PBE calculation of a geometry-optimized Sc4AlCd structure, from Alexandria via LeMat-Bulk.

Cell lengths 3.205, 6.831, 8.211 Å; angles 123.68, 78.75, 76.43 degrees
Sites, in units of the cell vectors:
Sc 0.835 0.505 0.824
Sc 0.323 0.019 0.335
Sc 0.165 0.495 0.176
Sc 0.677 0.981 0.665
Al 0.500 0.500 0.500
Cd 0.000 0.000 0.000

The crystal system is monoclinic.

Version 2
The following is a PBE calculation of a geometry-optimized Sc4AlCd structure, from Alexandria via LeMat-Bulk.

Cell lengths 4.764, 4.766, 8.339 Å; angles 73.42, 73.40, 60.01 degrees
Sites, in units of the cell vectors:
Sc 0.627 0.627 0.120
Sc 0.373 0.373 0.880
Sc 0.122 0.122 0.634
Sc 0.878 0.878 0.366
Al 0.000 0.000 0.000
Cd 0.500 0.500 0.500

The crystal system is trigonal.

Which one sits at the bottom of the stability order? version 2 does.

Version 1
The following is a PBE calculation of a geometry-optimized Sc3AlCd structure, from Alexandria via LeMat-Bulk.

Cell lengths 5.151, 5.151, 5.151 Å; angles 90.00, 90.00, 90.00 degrees
Sites, in units of the cell vectors:
Sc 0.000 0.500 0.000
Sc 0.000 0.000 0.500
Sc 0.500 0.000 0.000
Al 0.000 0.000 0.000
Cd 0.500 0.500 0.500

The crystal system is cubic.

Version 2
The following is a PBE calculation of a geometry-optimized Sc3AlCd structure, from Alexandria via LeMat-Bulk.

Cell lengths 4.976, 7.451, 7.451 Å; angles 119.99, 90.00, 90.00 degrees
Sites, in units of the cell vectors:
Sc 0.250 0.806 0.194
Sc 0.750 0.194 0.806
Sc 0.250 0.806 0.612
Sc 0.750 0.194 0.388
Sc 0.250 0.388 0.194
Sc 0.750 0.612 0.806
Al 0.000 0.000 0.000
Al 0.500 0.000 0.000
Cd 0.250 0.333 0.667
Cd 0.750 0.667 0.333

The crystal system is hexagonal.

Which one sits at the bottom of the stability order? version 1 does.

Version 1
The following is a PBE calculation of a geometry-optimized Sc3AlCd structure, from Alexandria via LeMat-Bulk.

Cell lengths 4.840, 4.842, 9.601 Å; angles 90.00, 75.40, 90.00 degrees
Sites, in units of the cell vectors:
Sc 0.768 0.250 0.113
Sc 0.382 0.250 0.884
Sc 0.574 0.250 0.500
Sc 0.266 0.750 0.116
Sc 0.881 0.750 0.887
Sc 0.074 0.750 0.500
Al 0.670 0.750 0.308
Al 0.978 0.250 0.692
Cd 0.478 0.750 0.693
Cd 0.171 0.250 0.307

The crystal system is orthorhombic.

Version 2
The following is a PBE calculation of a geometry-optimized Sc3AlCd structure, from Alexandria via LeMat-Bulk.

Cell lengths 5.223, 5.223, 5.223 Å; angles 90.00, 90.00, 90.00 degrees
Sites, in units of the cell vectors:
Sc 0.000 0.500 0.000
Sc 0.000 0.000 0.500
Sc 0.500 0.000 0.000
Al 0.500 0.500 0.500
Cd 0.000 0.000 0.000

The crystal system is cubic.

Which one sits at the bottom of the stability order? version 2 does.